# 1
! BaSbBr2, PBEsol geometry, DFT meta-GGA SCAN; values from VASP
&SYSTEM
  ibrav = 0, nat = 4, ntyp = 3
/
ATOMIC_SPECIES
Br 79.90 Br.upf
Sb 121.76 Sb.upf
Ba 137.33 Ba.upf
ATOMIC_POSITIONS angstrom
Br -2.573 0.027 2.234
Br -1.282 3.045 0.497
Sb -2.172 -1.204 -1.745
Ba -5.097 -0.481 0.568
CELL_PARAMETERS angstrom
-1.311 3.801 0.787
-3.760 -2.802 -3.314
-2.862 -2.012 4.949
! Volume (Å³/f.u.): 133.4
! E_form (uncorrected) (eV/atom): -1.20


# 2
! CuReSN2, PBEsol geometry, DFT meta-GGA SCAN; values from VASP
&SYSTEM
  ibrav = 0, nat = 5, ntyp = 4
/
ATOMIC_SPECIES
N 14.01 N.upf
S 32.06 S.upf
Re 186.21 Re.upf
Cu 63.55 Cu.upf
ATOMIC_POSITIONS angstrom
N 1.876 0.000 0.000
N 0.000 1.876 0.000
S 0.000 0.000 2.503
Re 0.000 0.000 0.000
Cu 1.876 1.876 2.503
CELL_PARAMETERS angstrom
3.751 0.000 0.000
0.000 3.751 0.000
0.000 0.000 5.006
! Volume (Å³/f.u.): 70.4
! E_form (uncorrected) (eV/atom): 0.55


# 3
! Li2HoIn, PBEsol geometry, DFT meta-GGA SCAN; values from VASP
&SYSTEM
  ibrav = 0, nat = 4, ntyp = 3
/
ATOMIC_SPECIES
Ho 164.93 Ho.upf
Li 6.94 Li.upf
In 114.82 In.upf
ATOMIC_POSITIONS angstrom
Ho 4.761 2.749 1.944
Li 7.142 4.123 2.916
Li 2.381 1.374 0.972
In 0.000 0.000 0.000
CELL_PARAMETERS angstrom
4.761 0.000 0.000
2.381 4.123 0.000
2.381 1.374 3.888
! Volume (Å³/f.u.): 76.3
! Energy of formation (eV per formula unit): -1.46


# 4
! KMo4, PBEsol geometry, DFT meta-GGA SCAN; values from VASP
&SYSTEM
  ibrav = 0, nat = 5, ntyp = 2
/
ATOMIC_SPECIES
Mo 95.94 Mo.upf
K 39.10 K.upf
ATOMIC_POSITIONS angstrom
Mo -0.820 2.318 0.000
Mo 2.459 0.000 0.000
Mo 0.820 1.159 2.008
Mo -0.820 -1.159 2.008
K 0.000 0.000 0.000
CELL_PARAMETERS angstrom
4.918 0.000 0.000
-1.639 4.636 0.000
-1.639 -2.318 4.015
! Volume (Å³/f.u.): 91.5
! Energy of formation (eV per formula unit): 16.32


# 5
! CaBeW, PBEsol geometry, DFT meta-GGA SCAN; values from VASP
&SYSTEM
  ibrav = 0, nat = 3, ntyp = 3
/
ATOMIC_SPECIES
Be 9.01 Be.upf
Ca 40.08 Ca.upf
W 183.84 W.upf
ATOMIC_POSITIONS angstrom
Be 0.000 0.000 0.000
Ca 0.637 -1.012 5.266
W 0.319 -0.506 2.633
CELL_PARAMETERS angstrom
-1.276 -2.562 3.354
2.895 -1.152 3.120
-0.344 1.690 4.058
! Volume (Å³/f.u.): 60.6
! Energy of formation (eV per formula unit): 5.40


# 6
! KNa2Li, PBEsol geometry, DFT meta-GGA SCAN; values from VASP
&SYSTEM
  ibrav = 0, nat = 4, ntyp = 3
/
ATOMIC_SPECIES
Li 6.94 Li.upf
Na 22.99 Na.upf
K 39.10 K.upf
ATOMIC_POSITIONS angstrom
Li 0.000 0.000 0.000
Na 9.090 5.248 3.711
Na 3.030 1.749 1.237
K 6.060 3.499 2.474
CELL_PARAMETERS angstrom
6.060 0.000 0.000
3.030 5.248 0.000
3.030 1.749 4.948
! Volume (Å³/f.u.): 157.4
! Energy of formation (eV per formula unit): 0.33